(1)
! PBEsol CaZnCd2, relaxed; values from VASP
! ΔH_f (0 K) = -0.90 eV per formula unit
&SYSTEM
  ibrav = 0, nat = 4, ntyp = 3
/
ATOMIC_SPECIES
Cd 112.41 Cd.upf
Ca 40.08 Ca.upf
Zn 65.41 Zn.upf
CELL_PARAMETERS angstrom
-1.374 2.775 -3.805
-3.202 -1.028 3.570
-1.442 3.525 3.092
ATOMIC_POSITIONS angstrom
Cd -2.305 1.061 1.607
Ca 0.000 0.000 0.000
Cd -1.408 3.150 -0.356
Zn -3.713 4.211 1.250

***

(2)
! PBEsol Ag3SeN, relaxed; values from VASP
! formation energy (no corrections) = 53.65 kJ/mol of atoms
&SYSTEM
  ibrav = 0, nat = 5, ntyp = 3
/
ATOMIC_SPECIES
Ag 107.87 Ag.upf
Se 78.96 Se.upf
N 14.01 N.upf
CELL_PARAMETERS angstrom
4.325 0.000 0.000
0.000 4.325 0.000
0.000 0.000 4.325
ATOMIC_POSITIONS angstrom
Ag 0.000 2.162 0.000
Ag 0.000 0.000 2.162
Ag 2.162 0.000 0.000
Se 2.162 2.162 2.162
N 0.000 0.000 0.000

***

(3)
! PBEsol Co3Ni2, relaxed; values from VASP
! ΔH_f (0 K) = 0.02 eV per formula unit
! polymorph energy (0 for the lowest one) = 0.000 eV/atom
&SYSTEM
  ibrav = 0, nat = 5, ntyp = 2
/
ATOMIC_SPECIES
Co 58.93 Co.upf
Ni 58.69 Ni.upf
CELL_PARAMETERS angstrom
2.445 0.000 0.000
1.222 2.117 0.000
1.222 0.706 10.014
ATOMIC_POSITIONS angstrom
Co 3.667 2.117 5.987
Co 0.000 0.000 0.000
Ni 2.445 1.412 8.011
Ni 2.445 1.412 2.003
Co 1.222 0.706 4.027

***

(4)
! PBEsol CrSiN2, relaxed; values from VASP
! formation energy (no corrections) = -43.11 kJ/mol of atoms
&SYSTEM
  ibrav = 0, nat = 4, ntyp = 3
/
ATOMIC_SPECIES
N 14.01 N.upf
Si 28.09 Si.upf
Cr 52.00 Cr.upf
CELL_PARAMETERS angstrom
-0.869 -1.649 -1.929
0.520 -2.627 0.146
-5.140 -2.254 2.377
ATOMIC_POSITIONS angstrom
N -1.866 -4.527 -0.886
N -3.622 -2.004 1.479
Si 0.000 0.000 0.000
Cr -2.744 -3.265 0.297

***

(5)
! PBEsol Na2AlBiCl, relaxed; values from VASP
! formation energy (no corrections) = 22.05 kJ/mol of atoms
&SYSTEM
  ibrav = 0, nat = 5, ntyp = 4
/
ATOMIC_SPECIES
Bi 208.98 Bi.upf
Al 26.98 Al.upf
Cl 35.45 Cl.upf
Na 22.99 Na.upf
CELL_PARAMETERS angstrom
-1.012 3.908 -3.795
-5.130 -2.634 -1.344
-2.752 3.269 4.100
ATOMIC_POSITIONS angstrom
Bi 0.000 0.000 0.000
Al -4.447 2.271 -0.520
Cl -0.506 1.954 -1.898
Na -1.376 1.634 2.050
Na -2.565 -1.317 -0.672

***

(6)
! PBEsol YSiAs2, relaxed; values from VASP
! formation energy (no corrections) = -20.38 kJ/mol of atoms
&SYSTEM
  ibrav = 0, nat = 4, ntyp = 3
/
ATOMIC_SPECIES
As 74.92 As.upf
Y 88.91 Y.upf
Si 28.09 Si.upf
CELL_PARAMETERS angstrom
3.314 0.000 0.000
0.000 3.314 0.000
0.000 0.000 7.615
ATOMIC_POSITIONS angstrom
As 1.657 1.657 2.506
Y 1.657 1.657 5.612
Si 0.000 0.000 3.484
As 0.000 0.000 7.436

***

(7)
! PBEsol LiCr2O3, relaxed; values from VASP
! formation energy (no corrections) = -166.44 kJ/mol of atoms
! polymorph energy (0 for the lowest one) = 0.000 eV/atom
&SYSTEM
  ibrav = 0, nat = 24, ntyp = 3
/
ATOMIC_SPECIES
O 16.00 O.upf
Cr 52.00 Cr.upf
Li 6.94 Li.upf
CELL_PARAMETERS angstrom
5.052 -0.051 -0.084
-2.500 4.391 -0.084
-0.713 -1.212 9.610
ATOMIC_POSITIONS angstrom
O 0.897 2.965 1.031
Cr 2.526 -0.025 -0.042
Cr -1.606 1.589 4.763
O 1.031 3.103 8.309
O 2.566 3.015 3.504
Cr 4.246 0.016 2.318
O 0.942 0.164 8.410
O 0.808 0.025 1.133
Li 2.641 0.144 7.123
Cr 0.009 1.473 -0.042
Cr 0.927 0.118 4.762
O -0.765 3.072 5.834
Li 1.727 1.497 2.318
Cr 1.831 1.655 9.484
O -0.727 0.113 5.938
Cr -2.406 3.112 7.123
O 0.041 1.509 3.605
O 2.604 0.056 3.607
O 1.798 1.619 5.836
O -1.574 1.697 8.412
Li -0.801 2.984 2.318
Cr 0.913 3.010 4.679
O 3.413 1.431 1.029
Li 0.113 1.631 7.123

***

(8)
! PBEsol BaV2CdO7, relaxed; values from VASP
! formation energy (no corrections) = -227.56 kJ/mol of atoms
&SYSTEM
  ibrav = 0, nat = 44, ntyp = 4
/
ATOMIC_SPECIES
O 16.00 O.upf
V 50.94 V.upf
Ba 137.33 Ba.upf
Cd 112.41 Cd.upf
CELL_PARAMETERS angstrom
-0.781 -1.167 5.507
2.288 -6.969 -1.152
14.466 4.262 2.953
ATOMIC_POSITIONS angstrom
O 7.820 -2.220 2.104
V 6.519 -3.394 1.671
Ba 3.966 -4.429 4.023
O 9.614 -4.045 3.390
O 6.360 0.171 3.918
O 13.869 -1.272 1.754
Ba 12.007 0.555 3.286
V 2.512 -5.614 0.633
V 6.461 -1.097 5.082
O 10.974 -1.153 5.710
O 2.349 -4.364 -0.544
V 14.142 -2.453 2.951
O 6.866 -4.103 0.162
O 5.400 -2.292 4.679
Ba 11.701 -3.826 5.247
O 6.491 -4.663 2.807
V 9.454 -0.480 5.637
O 2.105 -2.602 5.554
O 0.057 -1.154 4.163
O 9.483 0.789 4.502
O 2.480 -2.042 2.909
O 5.000 -2.722 1.598
O 13.625 0.490 7.852
Cd 7.928 -5.120 4.438
Cd 14.550 -1.129 6.222
V 13.462 1.739 6.675
V 1.831 -1.422 4.357
O 5.982 -0.394 6.582
Cd 1.424 -2.746 1.086
V 9.513 -2.777 2.226
O 11.872 2.153 6.538
O 2.680 -0.052 4.768
O 13.494 -1.833 4.399
O 8.154 -1.655 5.204
O 10.574 -1.582 2.630
Ba 4.273 -0.049 2.062
O 15.917 -2.721 3.146
O 4.101 -6.028 0.770
O 13.294 -3.823 2.540
O 1.971 -4.929 2.120
O 14.002 1.054 5.189
Cd 8.046 1.245 2.870
O 9.991 -3.481 0.727
O 9.108 0.228 7.147

***

(9)
! PBEsol Cr2CuRu, relaxed; values from VASP
! ΔH_f (0 K) = 1.07 eV per formula unit
&SYSTEM
  ibrav = 0, nat = 4, ntyp = 3
/
ATOMIC_SPECIES
Cr 52.00 Cr.upf
Ru 101.07 Ru.upf
Cu 63.55 Cu.upf
CELL_PARAMETERS angstrom
-2.747 0.541 -0.590
-1.117 -1.863 3.492
2.204 4.205 0.527
ATOMIC_POSITIONS angstrom
Cr -1.249 1.895 0.612
Ru -0.414 0.952 2.798
Cu 0.267 3.470 1.937
Cr 0.008 0.110 0.061

***

(10)
! PBEsol Cr2CdRu, relaxed; values from VASP
! ΔH_f (0 K) = 1.20 eV per formula unit
&SYSTEM
  ibrav = 0, nat = 4, ntyp = 3
/
ATOMIC_SPECIES
Cr 52.00 Cr.upf
Cd 112.41 Cd.upf
Ru 101.07 Ru.upf
CELL_PARAMETERS angstrom
-0.173 2.419 -1.626
-2.776 0.359 0.830
2.005 3.603 5.150
ATOMIC_POSITIONS angstrom
Cr 0.097 0.175 0.248
Cd 0.037 4.106 3.485
Ru 0.743 4.065 0.727
Cr -0.992 2.256 0.843

***

(11)
! PBEsol KTb2CuS4, relaxed; values from VASP
! formation energy (no corrections) = -164.09 kJ/mol of atoms
&SYSTEM
  ibrav = 0, nat = 16, ntyp = 4
/
ATOMIC_SPECIES
Tb 158.93 Tb.upf
S 32.06 S.upf
Cu 63.55 Cu.upf
K 39.10 K.upf
CELL_PARAMETERS angstrom
3.906 0.000 0.000
-1.953 6.685 0.000
0.000 0.000 13.532
ATOMIC_POSITIONS angstrom
Tb 1.953 1.798 0.850
S 1.953 3.157 8.294
Cu 0.000 2.167 3.383
Cu 1.953 4.517 10.149
S 0.000 5.777 10.149
Tb 1.953 1.798 5.916
K 1.953 5.230 3.383
Tb 0.000 4.887 12.682
S 0.000 0.000 6.766
S 1.953 0.908 3.383
S 0.000 3.528 1.527
S 1.953 3.157 12.005
K 0.000 1.455 10.149
S 0.000 3.528 5.239
Tb 0.000 4.887 7.616
S 0.000 0.000 0.000

***

(12)
! PBEsol KCdCo3, relaxed; values from VASP
! ΔH_f (0 K) = 8.20 eV per formula unit
&SYSTEM
  ibrav = 0, nat = 5, ntyp = 3
/
ATOMIC_SPECIES
Cd 112.41 Cd.upf
Co 58.93 Co.upf
K 39.10 K.upf
CELL_PARAMETERS angstrom
-3.825 -1.844 -2.315
2.820 -3.419 -1.935
-0.899 -2.881 3.779
ATOMIC_POSITIONS angstrom
Cd 0.000 0.000 0.000
Co -1.912 -0.922 -1.158
Co -0.449 -1.440 1.889
Co 1.410 -1.710 -0.968
K -0.952 -4.072 -0.236

***

Number 1: DFT total energy -1.752 eV per atom. Number 2: DFT total energy -3.906 eV per atom. Number 3: DFT total energy -7.101 eV per atom. Number 4: DFT total energy -8.707 eV per atom. Number 5: DFT total energy -2.408 eV per atom. Number 6: DFT total energy -5.907 eV per atom. Number 7: DFT total energy -8.091 eV per atom. Number 8: DFT total energy -7.755 eV per atom. Number 9: DFT total energy -8.480 eV per atom. Number 10: DFT total energy -7.663 eV per atom. Number 11: DFT total energy -5.829 eV per atom. Number 12: DFT total energy -3.469 eV per atom.